# 1
VASP calculation (PBE with a Hubbard U) on LaMnIO2 after structural relaxation.

As for the crystal system: tetragonal.

The structure belongs to space group P4/mmm (No. 123); the cell edges are 4.339, 4.339 and 5.165 Å and the angles 90.00°, 90.00° and 90.00°. The inequivalent atoms are La at (0.000, 0.000, 0.000), Mn at (0.500, 0.500, 0.500), I at (0.500, 0.500, 0.000) and O at (0.000, 0.500, 0.500).

---

# 2
VASP calculation (PBE with a Hubbard U) on LaMnIO2 after structural relaxation.

As for the crystal system: tetragonal.

The structure belongs to space group P4/mmm (No. 123); the cell edges are 4.471, 4.471 and 6.700 Å and the angles 90.00°, 90.00° and 90.00°. The inequivalent atoms are La at (0.000, 0.000, 0.000), Mn at (0.500, 0.500, 0.500), I at (0.000, 0.000, 0.500) and O at (0.000, 0.500, 0.000).

---

# 3
VASP calculation (PBE with a Hubbard U) on LaMnIO2 after structural relaxation.

As for the crystal system: monoclinic.

The structure belongs to space group P2_1/m (No. 11); the cell edges are 6.868, 3.780 and 8.237 Å and the angles 90.00°, 105.26° and 90.00°. The inequivalent atoms are La at (0.172, 0.250, 0.179), Mn at (0.341, 0.250, 0.855), I at (0.276, 0.750, 0.570), O at (0.051, 0.250, 0.877) and O at (0.358, 0.750, 0.088).

---

Q: Which final energy values were calculated for the entries above? A: -5.86, -5.97, -6.94, in eV/atom.
Q: Which excess energy over the best structure of this formula in the dataset values were calculated for the entries above? A: 1080.6, 976.5, 0.0, in meV/atom.